A relaxed Lu2FeAu crystal, computed with PBE-GGA.

a = 3.3067 Å, b = 3.3067 Å, c = 7.1340 Å
α = 90.00°, β = 90.00°, γ = 90.00°
Last column: nearest neighbours and their distance in Å.
Fractional positions:
Lu1 0.0000 0.0000 0.7777  4 Fe 2.83, 4 Au 3.06
Lu2 0.0000 0.0000 0.2223  4 Fe 2.83, 4 Au 3.06
Au1 0.5000 0.5000 0.5000  8 Lu 3.06, 4 Au 3.31
Fe1 0.5000 0.5000 0.0000  8 Lu 2.83

Output
ΔE_f   -0.43 eV per atom
Calculated volume   19.5 A^3/atom
Final energy   -22.50 eV/cell